DFT (PBE) results for crystalline BeTcRh2 at its relaxed geometry.

Structure (POSCAR):
```
BeTcRh2
1.0
4.509 -0.015 0.000
-1.230 4.337 0.000
0.000 0.000 2.713
Be Rh Tc
1 2 1
Direct
0.000 0.500 0.500
0.000 0.000 0.000
0.500 0.500 0.000
0.500 0.000 0.500
```

Symmetry ... No. 65
E_form ... -0.3 eV/f.u.